No. 1
The following is a DFT calculation (PBE) of a relaxed structure of As2IrPt.

Lattice parameters (Å, degrees): 4.334 4.334 5.365 101.40 101.40 41.42
Positions (direct):
As1 0.243 0.243 0.241
As2 0.757 0.757 0.759
Ir1 0.500 0.500 0.000
Pt1 0.000 0.000 0.500

Properties
E_form: 0.0721 eV per atom



No. 2
The following is a DFT calculation (PBE) of a relaxed structure of Hg2N2F3.

Lattice parameters (Å, degrees): 3.791 6.374 7.796 103.89 100.73 106.96
Positions (direct):
Hg1 0.153 0.265 0.053
Hg2 0.847 0.735 0.947
N1 0.430 0.046 0.460
N2 0.570 0.954 0.540
F1 0.188 0.493 0.844
F2 0.500 0.000 0.000
F3 0.812 0.507 0.156

Properties
calculated total energy: -0.1503 hartree per atom